1.
Here is a relaxed structure of K3IO5 from the Alexandria database. Energies are from PBE-GGA.

Cell: 6.314 6.314 8.414 Å, 90.00 90.00 90.00°
Fractional positions:
K (0.250, 0.250, 0.224)
K (0.250, 0.750, 0.000)
K (0.250, 0.750, 0.500)
K (0.750, 0.250, 0.000)
K (0.750, 0.250, 0.500)
K (0.750, 0.750, 0.776)
I (0.250, 0.250, 0.743)
I (0.750, 0.750, 0.257)
O (0.044, 0.044, 0.788)
O (0.044, 0.456, 0.788)
O (0.250, 0.250, 0.526)
O (0.456, 0.044, 0.788)
O (0.456, 0.456, 0.788)
O (0.544, 0.544, 0.212)
O (0.544, 0.956, 0.212)
O (0.750, 0.750, 0.474)
O (0.956, 0.544, 0.212)
O (0.956, 0.956, 0.212)

Properties
**Total DFT energy (no corrections)**: -4.420 eV per atom
**Total magnetization**: 0.000 μB/atom
**Space group**: P4/nmm


2.
Here is a relaxed structure of Tm12ZrAl3 from the Alexandria database. Energies are from PBE-GGA.

Cell: 4.710 4.710 19.031 Å, 90.00 90.00 90.00°
Fractional positions:
Tm (0.000, 0.000, 0.000)
Tm (0.000, 0.000, 0.246)
Tm (0.000, 0.000, 0.500)
Tm (0.000, 0.000, 0.754)
Tm (0.000, 0.500, 0.123)
Tm (0.000, 0.500, 0.372)
Tm (0.000, 0.500, 0.628)
Tm (0.000, 0.500, 0.877)
Tm (0.500, 0.000, 0.123)
Tm (0.500, 0.000, 0.372)
Tm (0.500, 0.000, 0.628)
Tm (0.500, 0.000, 0.877)
Zr (0.500, 0.500, 0.500)
Al (0.500, 0.500, 0.000)
Al (0.500, 0.500, 0.245)
Al (0.500, 0.500, 0.755)

Properties
**Total DFT energy (no corrections)**: -4.722 eV per atom
**Total magnetization**: 0.000 μB/atom
**Space group**: P4/mmm


3.
Here is a relaxed structure of Cs2KBiF6 from the Alexandria database. Energies are from PBE-GGA.

Cell: 6.892 6.892 6.892 Å, 60.00 60.00 60.00°
Fractional positions:
Cs (0.250, 0.250, 0.250)
Cs (0.750, 0.750, 0.750)
K (0.000, 0.000, 0.000)
Bi (0.500, 0.500, 0.500)
F (0.266, 0.266, 0.734)
F (0.266, 0.734, 0.266)
F (0.266, 0.734, 0.734)
F (0.734, 0.266, 0.266)
F (0.734, 0.266, 0.734)
F (0.734, 0.734, 0.266)

Properties
**Total DFT energy (no corrections)**: -4.486 eV per atom
**Total magnetization**: 0.000 μB/atom
**Space group**: Fm-3m


4.
Here is a relaxed structure of Ca2Mg5Hg4 from the Alexandria database. Energies are from PBE-GGA.

Cell: 10.365 9.506 6.013 Å, 80.39 64.72 34.89°
Fractional positions:
Ca (0.124, 0.124, 0.876)
Ca (0.876, 0.876, 0.124)
Mg (0.000, 0.000, 0.500)
Mg (0.250, 0.250, 0.250)
Mg (0.500, 0.500, 0.000)
Mg (0.500, 0.500, 0.500)
Mg (0.750, 0.750, 0.750)
Hg (0.216, 0.523, 0.477)
Hg (0.477, 0.784, 0.216)
Hg (0.523, 0.216, 0.784)
Hg (0.784, 0.477, 0.523)

Properties
**Total DFT energy (no corrections)**: -1.432 eV per atom
**Total magnetization**: 0.000 μB/atom
**Space group**: Fmmm


5.
Here is a relaxed structure of Cs3Pr3MoS8 from the Alexandria database. Energies are from PBE-GGA.

Cell: 9.507 9.507 9.507 Å, 51.20 51.20 51.20°
Fractional positions:
Cs (0.000, 0.500, 0.500)
Cs (0.500, 0.000, 0.500)
Cs (0.500, 0.500, 0.000)
Pr (0.000, 0.000, 0.500)
Pr (0.000, 0.500, 0.000)
Pr (0.500, 0.000, 0.000)
Mo (0.500, 0.500, 0.500)
S (0.230, 0.230, 0.230)
S (0.261, 0.706, 0.706)
S (0.294, 0.294, 0.739)
S (0.294, 0.739, 0.294)
S (0.706, 0.261, 0.706)
S (0.706, 0.706, 0.261)
S (0.739, 0.294, 0.294)
S (0.770, 0.770, 0.770)

Properties
**Total DFT energy (no corrections)**: -5.519 eV per atom
**Total magnetization**: 0.133 μB/atom
**Space group**: R-3m


6.
Here is a relaxed structure of ScZnCu from the Alexandria database. Energies are from PBE-GGA.

Cell: 3.245 3.245 5.923 Å, 90.00 90.00 120.00°
Fractional positions:
Sc (0.000, 0.000, 0.000)
Zn (0.667, 0.333, 0.373)
Cu (0.333, 0.667, 0.664)

Properties
**Total DFT energy (no corrections)**: -3.887 eV per atom
**Total magnetization**: 0.000 μB/atom
**Space group**: P3m1


7.
Here is a relaxed structure of RbLiOs2O8 from the Alexandria database. Energies are from PBE-GGA.

Cell: 5.433 5.433 8.256 Å, 94.16 94.16 67.16°
Fractional positions:
Rb (0.000, 0.000, 0.000)
Li (0.000, 0.000, 0.500)
Os (0.373, 0.373, 0.708)
Os (0.627, 0.627, 0.292)
O (0.227, 0.227, 0.554)
O (0.234, 0.723, 0.687)
O (0.277, 0.766, 0.313)
O (0.314, 0.314, 0.907)
O (0.686, 0.686, 0.093)
O (0.723, 0.234, 0.687)
O (0.766, 0.277, 0.313)
O (0.773, 0.773, 0.446)

Properties
**Total DFT energy (no corrections)**: -6.670 eV per atom
**Total magnetization**: 0.170 μB/atom
**Space group**: C2/m


8.
Here is a relaxed structure of Cr2CuMo from the Alexandria database. Energies are from PBE-GGA.

Cell: 2.532 4.128 5.055 Å, 90.00 102.27 90.00°
Fractional positions:
Cr (0.000, 0.000, 0.000)
Cr (0.224, 0.500, 0.790)
Cu (0.828, 0.500, 0.262)
Mo (0.489, 0.000, 0.520)

Properties
**Total DFT energy (no corrections)**: -8.291 eV per atom
**Total magnetization**: 0.000 μB/atom
**Space group**: Pm


9.
Here is a relaxed structure of CaCdGa2Ir from the Alexandria database. Energies are from PBE-GGA.

Cell: 4.834 4.834 5.521 Å, 90.00 90.00 90.00°
Fractional positions:
Ca (0.000, 0.000, 0.000)
Cd (0.500, 0.500, 0.000)
Ga (0.000, 0.500, 0.500)
Ga (0.500, 0.000, 0.500)
Ir (0.000, 0.000, 0.500)

Properties
**Total DFT energy (no corrections)**: -3.852 eV per atom
**Total magnetization**: 0.000 μB/atom
**Space group**: P4/mmm


10.
Here is a relaxed structure of LiNdZn2Ga from the Alexandria database. Energies are from PBE-GGA.

Cell: 4.312 4.312 10.458 Å, 90.00 90.00 90.00°
Fractional positions:
Li (0.000, 0.000, 0.000)
Li (0.500, 0.500, 0.500)
Nd (0.000, 0.500, 0.750)
Nd (0.500, 0.000, 0.250)
Zn (0.000, 0.500, 0.132)
Zn (0.000, 0.500, 0.368)
Zn (0.500, 0.000, 0.632)
Zn (0.500, 0.000, 0.868)
Ga (0.000, 0.000, 0.500)
Ga (0.500, 0.500, 0.000)

Properties
**Total DFT energy (no corrections)**: -2.794 eV per atom
**Total magnetization**: 0.000 μB/atom
**Space group**: I-4m2


11.
Here is a relaxed structure of ErScRe from the Alexandria database. Energies are from PBE-GGA.

Cell: 3.358 3.358 11.868 Å, 90.00 90.00 90.00°
Fractional positions:
Er (0.000, 0.000, 0.000)
Er (0.500, 0.500, 0.500)
Sc (0.000, 0.000, 0.266)
Sc (0.500, 0.500, 0.766)
Re (0.000, 0.000, 0.644)
Re (0.500, 0.500, 0.144)

Properties
**Total DFT energy (no corrections)**: -7.764 eV per atom
**Total magnetization**: 0.000 μB/atom
**Space group**: I4mm


12.
Here is a relaxed structure of ReSiIr2 from the Alexandria database. Energies are from PBE-GGA.

Cell: 4.610 2.735 4.725 Å, 90.00 107.54 90.00°
Fractional positions:
Re (0.000, 0.000, 0.000)
Si (0.500, 0.500, 0.000)
Ir (0.000, 0.500, 0.500)
Ir (0.500, 0.000, 0.500)

Properties
**Total DFT energy (no corrections)**: -8.943 eV per atom
**Total magnetization**: 0.000 μB/atom
**Space group**: P2/m